Entry 1:
A plane-wave DFT calculation with PBE-GGA was carried out for crystalline Y2AsCl at its relaxed geometry.

Results
N(E_F)   0.738 states/eV/atom
Symmetry   I-42d (122)
Mass density   3.8 Mg/m³
Energy relative to the elements, uncorrected   -4.0 eV/f.u.
Spin magnetization   0.000 μB per formula unit

```
Y2AsCl
1.0
-3.141 3.141 6.386
3.141 -3.141 6.386
3.141 3.141 -6.386
Y As Cl
4 2 2
direct
0.122 0.625 0.997
0.375 0.372 0.497
0.628 0.125 0.003
0.875 0.878 0.503
0.000 0.000 0.000
0.750 0.250 0.500
0.250 0.750 0.500
0.500 0.500 0.000
```

=====

Entry 2:
A plane-wave DFT calculation with PBE-GGA was carried out for crystalline CaYTl at its relaxed geometry.

Results
N(E_F)   0.588 states/eV/atom
Symmetry   P3m1 (156)
Energy above the lowest structure with this stoichiometry   170 meV/atom
Mass density   5.9 Mg/m³
Formation energy from the elements   -179 meV/atom
Spin magnetization   0.000 μB per formula unit

```
CaYTl
1.0
5.323 0.000 0.000
-2.662 4.610 0.000
0.000 0.000 3.793
Ca Y Tl
1 1 1
direct
0.000 0.000 0.000
0.333 0.667 0.538
0.667 0.333 0.328
```

=====

Entry 3:
A plane-wave DFT calculation with PBE-GGA was carried out for crystalline AcTbRhI at its relaxed geometry.

Results
Symmetry   R3m (160)
Mass density   8.0 Mg/m³
Energy relative to the elements, uncorrected   -3.9 eV/f.u.
Spin magnetization   0.000 μB per formula unit

```
AcTbRhI
1.0
2.107 1.217 8.347
-2.107 1.217 8.347
0.000 -2.433 8.347
Ac Tb Rh I
1 1 1 1
direct
0.000 0.000 0.000
0.789 0.789 0.789
0.399 0.399 0.399
0.218 0.218 0.218
```

=====

Entry 4:
A plane-wave DFT calculation with PBE-GGA was carried out for crystalline Pr2Nd7Ho at its relaxed geometry.

Results
N(E_F)   1.487 states/eV/atom
Symmetry   Cmmm (65)
Mass density   6.9 Mg/m³
Formation energy from the elements   144 meV/atom
Spin magnetization   0.000 μB per formula unit

```
Pr2Nd7Ho
1.0
3.397 -14.799 0.000
3.397 14.799 0.000
0.000 0.000 3.509
Pr Nd Ho
2 7 1
direct
0.204 0.796 0.000
0.796 0.204 0.000
0.000 0.000 0.000
0.158 0.354 0.000
0.312 0.688 0.500
0.354 0.158 0.000
0.646 0.842 0.000
0.688 0.312 0.500
0.842 0.646 0.000
0.500 0.500 0.500
```

=====

Entry 5:
A plane-wave DFT calculation with PBE-GGA was carried out for crystalline Ca3Zn4Ag2 at its relaxed geometry.

Results
N(E_F)   0.585 states/eV/atom
Symmetry   P-1 (2)
Energy above the lowest structure with this stoichiometry   28 meV/atom
Mass density   4.8 Mg/m³
Formation energy from the elements   -255 meV/atom
Spin magnetization   0.000 μB per formula unit

```
Ca3Zn4Ag2
1.0
4.585 0.000 0.000
2.282 5.309 0.000
0.007 2.354 8.433
Ca Zn Ag
3 4 2
direct
0.000 0.000 0.000
0.386 0.229 0.626
0.614 0.771 0.374
0.090 0.820 0.632
0.275 0.450 0.926
0.725 0.550 0.074
0.910 0.180 0.368
0.292 0.416 0.243
0.708 0.584 0.757
```

=====

Entry 6:
A plane-wave DFT calculation with PBE-GGA was carried out for crystalline YTmPu2Se4 at its relaxed geometry.

Results
N(E_F)   2.185 states/eV/atom
Symmetry   P2/m (10)
Mass density   9.1 Mg/m³
Energy relative to the elements, uncorrected   -13.2 eV/f.u.
Spin magnetization   11.817 μB per formula unit

```
YTmPu2Se4
1.0
7.054 0.000 0.000
0.000 4.076 0.000
-2.356 0.000 6.768
Y Tm Pu Se
1 1 2 4
direct
0.000 0.000 0.000
0.500 0.500 0.000
0.000 0.500 0.500
0.500 0.000 0.500
0.251 0.500 0.243
0.256 0.000 0.759
0.744 0.000 0.241
0.749 0.500 0.757
```

=====

Entry 7:
A plane-wave DFT calculation with PBE-GGA was carried out for crystalline Tb4Y6Er at its relaxed geometry.

Results
N(E_F)   1.880 states/eV/atom
Symmetry   Cmcm (63)
Energy above the lowest structure with this stoichiometry   0 meV/atom
Mass density   6.3 Mg/m³
Formation energy from the elements   124 meV/atom
Spin magnetization   0.000 μB per formula unit

```
Tb4Y6Er
1.0
2.850 -4.836 0.000
2.850 4.836 0.000
0.000 0.000 25.724
Tb Y Er
8 12 2
direct
0.023 0.977 0.621
0.023 0.977 0.879
0.341 0.659 0.543
0.341 0.659 0.957
0.659 0.341 0.043
0.659 0.341 0.457
0.977 0.023 0.121
0.977 0.023 0.379
0.000 0.000 0.000
0.000 0.000 0.500
0.015 0.985 0.750
0.315 0.685 0.105
0.315 0.685 0.395
0.351 0.649 0.682
0.351 0.649 0.818
0.649 0.351 0.182
0.649 0.351 0.318
0.685 0.315 0.605
0.685 0.315 0.895
0.985 0.015 0.250
0.319 0.681 0.250
0.681 0.319 0.750
```

=====

Entry 8:
A plane-wave DFT calculation with PBE-GGA was carried out for crystalline DyHo6In3 at its relaxed geometry.

Results
N(E_F)   1.243 states/eV/atom
Symmetry   Cmc2_1 (36)
Mass density   8.2 Mg/m³
Formation energy from the elements   -127 meV/atom
Spin magnetization   0.000 μB per formula unit

```
DyHo6In3
1.0
5.227 -7.632 0.000
5.227 7.632 0.000
0.000 0.000 7.633
Dy Ho In
2 12 6
direct
0.207 0.793 0.500
0.793 0.207 0.000
0.046 0.954 0.213
0.076 0.450 0.713
0.233 0.299 0.024
0.299 0.233 0.524
0.302 0.698 0.052
0.450 0.076 0.213
0.550 0.924 0.713
0.698 0.302 0.552
0.701 0.767 0.024
0.767 0.701 0.524
0.924 0.550 0.213
0.954 0.046 0.713
0.012 0.280 0.351
0.280 0.012 0.851
0.447 0.553 0.740
0.553 0.447 0.240
0.720 0.988 0.351
0.988 0.720 0.851
```

=====

Entry 9:
A plane-wave DFT calculation with PBE-GGA was carried out for crystalline LaTl8 at its relaxed geometry.

Results
N(E_F)   0.579 states/eV/atom
Symmetry   I4/mmm (139)
Mass density   10.9 Mg/m³
Formation energy from the elements   -88 meV/atom
Spin magnetization   0.000 μB per formula unit

```
LaTl8
1.0
-5.245 5.245 2.461
5.245 -5.245 2.461
5.245 5.245 -2.461
La Tl
1 8
direct
0.000 0.000 0.000
0.000 0.337 0.337
0.000 0.663 0.663
0.329 0.329 0.657
0.329 0.671 0.000
0.337 0.000 0.337
0.663 0.000 0.663
0.671 0.329 0.000
0.671 0.671 0.343
```

=====

Entry 10:
A plane-wave DFT calculation with PBE-GGA was carried out for crystalline AcTlBr at its relaxed geometry.

Results
Symmetry   C2/m (12)
Mass density   7.3 Mg/m³
Energy relative to the elements, uncorrected   -3.2 eV/f.u.
Spin magnetization   0.000 μB per formula unit

```
AcTlBr
1.0
4.178 -2.414 0.000
4.178 2.414 0.000
-0.434 0.000 11.564
Ac Tl Br
2 2 2
direct
0.010 0.010 0.201
0.990 0.990 0.799
0.336 0.336 0.049
0.664 0.664 0.951
0.316 0.316 0.652
0.684 0.684 0.348
```

=====

Entry 11:
A plane-wave DFT calculation with PBE-GGA was carried out for crystalline Pm3Y2Th2 at its relaxed geometry.

Results
N(E_F)   1.423 states/eV/atom
Symmetry   P-1 (2)
Mass density   7.7 Mg/m³
Formation energy from the elements   36 meV/atom
Spin magnetization   0.000 μB per formula unit

```
Pm3Y2Th2
1.0
3.619 0.000 0.000
1.809 5.942 0.000
0.005 1.052 10.788
Pm Y Th
3 2 2
direct
0.000 0.000 0.000
0.143 0.715 0.577
0.857 0.285 0.423
0.426 0.148 0.718
0.574 0.852 0.282
0.283 0.432 0.139
0.717 0.568 0.861
```

=====

Entry 12:
A plane-wave DFT calculation with PBE-GGA was carried out for crystalline Hf3TiPb at its relaxed geometry.

Results
N(E_F)   0.751 states/eV/atom
Symmetry   P-1 (2)
Energy above the lowest structure with this stoichiometry   0 meV/atom
Mass density   11.8 Mg/m³
Formation energy from the elements   42 meV/atom
Spin magnetization   0.000 μB per formula unit

```
Hf3TiPb
1.0
3.145 0.000 0.000
1.570 6.008 0.000
0.021 2.265 11.756
Hf Ti Pb
6 2 2
direct
0.007 0.475 0.203
0.282 0.945 0.226
0.343 0.820 0.595
0.657 0.180 0.405
0.718 0.055 0.774
0.993 0.525 0.797
0.082 0.327 0.596
0.918 0.673 0.404
0.365 0.761 0.987
0.635 0.239 0.013
```

=====

Which of these has the lowest mass density?
Y2AsCl